[1]
# CdCoNiAs

A relaxed structure of CdCoNiAs (PBE, OQMD).

The magnetic moment is 1.29 Bohr magnetons per cell. The offset from the most stable computed form is 0.69 eV/f.u.

Unit cell a=4.3758 b=4.3758 c=4.3758 alpha=60.00 beta=60.00 gamma=60.00
Positions (direct):
Cd  0.0000  0.0000  0.0000
Co  0.5000  0.5000  0.5000
Ni  0.7500  0.7500  0.7500
As  0.2500  0.2500  0.2500

=====

[2]
# CdCoNiAs

A relaxed structure of CdCoNiAs (PBE, OQMD).

The magnetic moment is 0.00 Bohr magnetons per cell. The offset from the most stable computed form is 0.00 eV/f.u.

Unit cell a=4.3191 b=4.3191 c=4.3191 alpha=60.00 beta=60.00 gamma=60.00
Positions (direct):
Cd  0.0000  0.0000  0.0000
Co  0.7500  0.7500  0.7500
Ni  0.2500  0.2500  0.2500
As  0.5000  0.5000  0.5000

=====

[3]
# CdCoAsOs

A relaxed structure of CdCoAsOs (PBE, OQMD).

The magnetic moment is 0.00 Bohr magnetons per cell. The offset from the most stable computed form is 0.00 eV/f.u.

Unit cell a=4.3815 b=4.3815 c=4.3815 alpha=60.00 beta=60.00 gamma=60.00
Positions (direct):
Cd  0.0000  0.0000  0.0000
Co  0.7500  0.7500  0.7500
As  0.5000  0.5000  0.5000
Os  0.2500  0.2500  0.2500

=====

[4]
# Cd2Co2As3P

A relaxed structure of Cd2Co2As3P (PBE, OQMD).

The magnetic moment is 0.01 Bohr magnetons per cell.

Unit cell a=6.6914 b=6.6914 c=5.8046 alpha=115.16 beta=115.16 gamma=49.72
Positions (direct):
Cd  0.1188  0.1188  0.3579
Cd  0.8812  0.8812  0.6421
Co  0.4028  0.3566  0.1245
Co  0.6434  0.5972  0.8755
As  0.0212  0.4797  0.8215
As  0.3376  0.6624  0.5000
As  0.5203  0.9788  0.1785
P  0.6786  0.3214  0.0000

=====

[5]
# CdCoAsPd

A relaxed structure of CdCoAsPd (PBE, OQMD).

The magnetic moment is 1.25 Bohr magnetons per cell. The offset from the most stable computed form is 0.00 eV/f.u.

Unit cell a=4.4621 b=4.4621 c=4.4621 alpha=60.00 beta=60.00 gamma=60.00
Positions (direct):
Cd  0.0000  0.0000  0.0000
Co  0.7500  0.7500  0.7500
As  0.5000  0.5000  0.5000
Pd  0.2500  0.2500  0.2500

=====

[6]
# CdCoReAs

A relaxed structure of CdCoReAs (PBE, OQMD).

The magnetic moment is 0.00 Bohr magnetons per cell. The offset from the most stable computed form is 0.00 eV/f.u.

Unit cell a=4.3846 b=4.3846 c=4.3846 alpha=60.00 beta=60.00 gamma=60.00
Positions (direct):
Cd  0.0000  0.0000  0.0000
Co  0.7500  0.7500  0.7500
Re  0.2500  0.2500  0.2500
As  0.5000  0.5000  0.5000

=====

[7]
# Cd2CoSiAs4

A relaxed structure of Cd2CoSiAs4 (PBE, OQMD).

The magnetic moment is 0.31 Bohr magnetons per cell.

Unit cell a=6.9643 b=6.9643 c=6.9643 alpha=130.51 beta=130.51 gamma=72.59
Positions (direct):
Cd  0.0000  0.0000  0.0000
Cd  0.7500  0.2500  0.5000
Co  0.2500  0.7500  0.5000
Si  0.5000  0.5000  0.0000
As  0.1762  0.6336  0.0677
As  0.3664  0.4341  0.5426
As  0.5659  0.1085  0.9323
As  0.8915  0.8238  0.4574

=====

[8]
# CdCoSn2As4

A relaxed structure of CdCoSn2As4 (PBE, OQMD).

The magnetic moment is 0.00 Bohr magnetons per cell.

Unit cell a=7.3066 b=7.3066 c=7.3066 alpha=131.86 beta=131.86 gamma=70.45
Positions (direct):
Cd  0.0000  0.0000  0.0000
Co  0.2500  0.7500  0.5000
Sn  0.5000  0.5000  0.0000
Sn  0.7500  0.2500  0.5000
As  0.1431  0.6448  0.0664
As  0.3552  0.4216  0.4983
As  0.5784  0.0767  0.9336
As  0.9233  0.8569  0.5017

=====

[9]
# CdCoTcAs

A relaxed structure of CdCoTcAs (PBE, OQMD).

The magnetic moment is 0.00 Bohr magnetons per cell. The offset from the most stable computed form is 0.00 eV/f.u.

Unit cell a=4.3785 b=4.3785 c=4.3785 alpha=60.00 beta=60.00 gamma=60.00
Positions (direct):
Cd  0.0000  0.0000  0.0000
Co  0.7500  0.7500  0.7500
Tc  0.2500  0.2500  0.2500
As  0.5000  0.5000  0.5000

=====

[10]
# ZnCdCo2As4

A relaxed structure of ZnCdCo2As4 (PBE, OQMD).

The magnetic moment is 0.01 Bohr magnetons per cell.

Unit cell a=6.8227 b=6.8227 c=6.8227 alpha=131.91 beta=131.91 gamma=70.37
Positions (direct):
Zn  0.0000  0.0000  0.0000
Cd  0.7500  0.2500  0.5000
Co  0.2500  0.7500  0.5000
Co  0.5000  0.5000  0.0000
As  0.1920  0.6500  0.0754
As  0.3500  0.4253  0.5420
As  0.5747  0.1166  0.9246
As  0.8834  0.8080  0.4580

=====

[11]
# ZrCdCoAs

A relaxed structure of ZrCdCoAs (PBE, OQMD).

The magnetic moment is 0.00 Bohr magnetons per cell. The offset from the most stable computed form is 0.38 eV/f.u.

Unit cell a=4.6473 b=4.6473 c=4.6473 alpha=60.00 beta=60.00 gamma=60.00
Positions (direct):
Zr  0.0000  0.0000  0.0000
Cd  0.2500  0.2500  0.2500
Co  0.7500  0.7500  0.7500
As  0.5000  0.5000  0.5000

=====

[12]
# ZrCdCoAs

A relaxed structure of ZrCdCoAs (PBE, OQMD).

The magnetic moment is 0.09 Bohr magnetons per cell. The offset from the most stable computed form is 0.00 eV/f.u.

Unit cell a=4.6104 b=4.6104 c=4.6104 alpha=60.00 beta=60.00 gamma=60.00
Positions (direct):
Zr  0.0000  0.0000  0.0000
Cd  0.7500  0.7500  0.7500
Co  0.5000  0.5000  0.5000
As  0.2500  0.2500  0.2500

=====

[13]
# Cs4CdAs14

A relaxed structure of Cs4CdAs14 (PBE, OQMD).

Unit cell a=10.9113 b=17.2837 c=14.7690 alpha=90.00 beta=91.62 gamma=90.00
Positions (direct):
Cs  0.0134  0.0762  0.2210
Cs  0.0134  0.4238  0.7210
Cs  0.2416  0.5792  0.9389
Cs  0.2416  0.9208  0.4389
Cs  0.3401  0.1219  0.8906
Cs  0.3401  0.3781  0.3906
Cs  0.4783  0.6308  0.2660
Cs  0.4783  0.8692  0.7660
Cs  0.5217  0.1308  0.2340
Cs  0.5217  0.3692  0.7340
Cs  0.6599  0.6219  0.6094
Cs  0.6599  0.8781  0.1094
Cs  0.7584  0.0792  0.5611
Cs  0.7584  0.4208  0.0611
Cs  0.9866  0.5762  0.2790
Cs  0.9866  0.9238  0.7790
Cd  0.0028  0.2374  0.0204
Cd  0.0028  0.2626  0.5204
Cd  0.9972  0.7374  0.4796
Cd  0.9972  0.7626  0.9796
As  0.0064  0.6202  0.6062
As  0.0064  0.8798  0.1062
As  0.0836  0.1158  0.4685
As  0.0836  0.3842  0.9685
As  0.0914  0.0962  0.6349
As  0.0914  0.4038  0.1349
As  0.1358  0.7020  0.7019
As  0.1358  0.7980  0.2019
As  0.1588  0.2295  0.6709
As  0.1588  0.2705  0.1709
As  0.1618  0.5631  0.5078
As  0.1618  0.9369  0.0078
As  0.2440  0.6873  0.4529
As  0.2440  0.8127  0.9529
As  0.2760  0.0215  0.6618
As  0.2760  0.4785  0.1618
As  0.2921  0.1546  0.4439
As  0.2921  0.3454  0.9439
As  0.3028  0.7449  0.5964
As  0.3028  0.7551  0.0964
As  0.3168  0.5188  0.6166
As  0.3168  0.9812  0.1166
As  0.3401  0.6342  0.7049
As  0.3401  0.8658  0.2049
As  0.3440  0.2340  0.5861
As  0.3440  0.2660  0.0861
As  0.4144  0.0971  0.5758
As  0.4144  0.4029  0.0758
As  0.5856  0.5971  0.9242
As  0.5856  0.9029  0.4242
As  0.6560  0.7340  0.9139
As  0.6560  0.7660  0.4139
As  0.6599  0.1342  0.7951
As  0.6599  0.3658  0.2951
As  0.6832  0.0188  0.8834
As  0.6832  0.4812  0.3834
As  0.6972  0.2449  0.9036
As  0.6972  0.2551  0.4036
As  0.7079  0.6546  0.0561
As  0.7079  0.8454  0.5561
As  0.7240  0.5215  0.8382
As  0.7240  0.9785  0.3382
As  0.7560  0.1873  0.0471
As  0.7560  0.3127  0.5471
As  0.8382  0.0631  0.9922
As  0.8382  0.4369  0.4922
As  0.8412  0.7295  0.8291
As  0.8412  0.7705  0.3291
As  0.8642  0.2020  0.7981
As  0.8642  0.2980  0.2981
As  0.9086  0.5962  0.8651
As  0.9086  0.9038  0.3651
As  0.9164  0.6158  0.0315
As  0.9164  0.8842  0.5315
As  0.9936  0.1202  0.8938
As  0.9936  0.3798  0.3938

=====

[14]
# CsCd4As3

A relaxed structure of CsCd4As3 (PBE, OQMD).

Unit cell a=12.9101 b=12.9101 c=12.9101 alpha=20.27 beta=20.27 gamma=20.27
Positions (direct):
Cs  0.0000  0.0000  0.0000
Cd  0.1964  0.1964  0.1964
Cd  0.4160  0.4160  0.4160
Cd  0.5840  0.5840  0.5840
Cd  0.8036  0.8036  0.8036
As  0.2669  0.2669  0.2669
As  0.5000  0.5000  0.5000
As  0.7331  0.7331  0.7331

=====

[15]
# Cs2K2CdAs2

A relaxed structure of Cs2K2CdAs2 (PBE, OQMD).

The offset from the most stable computed form is 0.13 eV/f.u.

Unit cell a=9.9231 b=9.9231 c=9.9231 alpha=36.48 beta=36.48 gamma=36.48
Positions (direct):
Cs  0.1111  0.1111  0.1111
Cs  0.8889  0.8889  0.8889
K  0.2924  0.2924  0.2924
K  0.7076  0.7076  0.7076
Cd  0.5000  0.5000  0.5000
As  0.4092  0.4092  0.4092
As  0.5908  0.5908  0.5908

=====

[16]
# Cs2K2CdAs2

A relaxed structure of Cs2K2CdAs2 (PBE, OQMD).

The offset from the most stable computed form is 0.00 eV/f.u.

Unit cell a=10.6050 b=10.6050 c=10.6050 alpha=32.75 beta=32.75 gamma=32.75
Positions (direct):
Cs  0.2077  0.2077  0.2077
Cs  0.7923  0.7923  0.7923
K  0.3855  0.3855  0.3855
K  0.6145  0.6145  0.6145
Cd  0.0000  0.0000  0.0000
As  0.0836  0.0836  0.0836
As  0.9164  0.9164  0.9164

=====

[17]
# Cs2MgCdAs2

A relaxed structure of Cs2MgCdAs2 (PBE, OQMD).

Unit cell a=4.6772 b=4.6772 c=8.7791 alpha=90.00 beta=90.00 gamma=90.00
Positions (direct):
Cs  0.0000  0.5000  0.1512
Cs  0.5000  0.0000  0.8488
Mg  0.5000  0.5000  0.5000
Cd  0.0000  0.0000  0.5000
As  0.0000  0.5000  0.6756
As  0.5000  0.0000  0.3244

=====

[18]
# CsMg3CdAs3

A relaxed structure of CsMg3CdAs3 (PBE, OQMD).

Unit cell a=4.4962 b=4.5207 c=10.9024 alpha=90.00 beta=90.00 gamma=90.00
Positions (direct):
Cs  0.0000  0.0000  0.0000
Mg  0.0000  0.5000  0.6594
Mg  0.5000  0.0000  0.3449
Mg  0.5000  0.0000  0.6606
Cd  0.0000  0.5000  0.3459
As  0.0000  0.0000  0.5088
As  0.5000  0.5000  0.2117
As  0.5000  0.5000  0.7849

=====

[19]
# CsCdAsO

A relaxed structure of CsCdAsO (PBE, OQMD).

The offset from the most stable computed form is 2.07 eV/f.u.

Unit cell a=4.2871 b=4.2871 c=12.3195 alpha=90.00 beta=90.00 gamma=90.00
Positions (direct):
Cs  0.2500  0.2500  0.1518
Cs  0.7500  0.7500  0.8482
Cd  0.2500  0.7500  0.5000
Cd  0.7500  0.2500  0.5000
As  0.2500  0.2500  0.6414
As  0.7500  0.7500  0.3586
O  0.2500  0.7500  0.0000
O  0.7500  0.2500  0.0000

=====

[20]
# CsCdAsO

A relaxed structure of CsCdAsO (PBE, OQMD).

The offset from the most stable computed form is 0.95 eV/f.u.

Unit cell a=3.4269 b=9.3658 c=7.1385 alpha=90.00 beta=90.00 gamma=90.00
Positions (direct):
Cs  0.0000  0.1779  0.0000
Cs  0.0000  0.8221  0.5000
Cd  0.5000  0.4331  0.6445
Cd  0.5000  0.5669  0.1445
As  0.0000  0.2180  0.4957
As  0.0000  0.7820  0.9957
O  0.5000  0.4040  0.9399
O  0.5000  0.5960  0.4399

=====

| no. | raw total energy (eV/atom) |
| --- | --- |
| 1 | -4.20 |
| 2 | -4.37 |
| 3 | -5.43 |
| 4 | -4.35 |
| 5 | -4.39 |
| 6 | -5.66 |
| 7 | -4.11 |
| 8 | -4.36 |
| 9 | -5.39 |
| 10 | -4.29 |
| 11 | -5.15 |
| 12 | -5.24 |
| 13 | -3.97 |
| 14 | -2.56 |
| 15 | -2.42 |
| 16 | -2.44 |
| 17 | -2.79 |
| 18 | -3.12 |
| 19 | -2.84 |
| 20 | -3.12 |